# La2AlSnC

La2AlSnC after structural relaxation (PBE, the Alexandria database).

The structure belongs to space group P4/mmm (No. 123); the cell edges are 5.4730, 5.4730 and 3.9750 Å and the angles 90.00°, 90.00° and 90.00°. Symmetry generates all atoms from La at (0.0000, 0.5000, 0.0000), Al at (0.0000, 0.0000, 0.5000), Sn at (0.5000, 0.5000, 0.5000) and C at (0.0000, 0.0000, 0.0000).

The density of states at the Fermi level is 2.7 states/eV/f.u. For the formation energy, the calculation gives -0.40 eV per atom. As for the raw total energy: -28.8 eV for the cell shown.